[1]
BeAgO3: optimized geometry, PBE.

The structure in POSCAR format:
```
BeAgO3
1.0
-3.5936 -0.8066 1.3194
-0.6486 -2.2439 -3.1384
1.4038 -3.1015 1.9274
O Ag Be
3 1 1
Cartesian
0.7019 -1.5508 0.9637
-0.3243 -1.1219 -1.5692
-1.7968 -0.4033 0.6597
0.0000 0.0000 0.0000
-1.4192 -3.0760 0.0542
```

Summary:
The total magnetization is 0.000 μB per atom. Its crystal system is cubic. The calculation puts the final energy at -17.94 eV/cell. The calculated volume is 12.0 Å³/atom.

---

[2]
U2Ru5Rh: optimized geometry, PBE.

The structure in POSCAR format:
```
U2Ru5Rh
1.0
3.9964 0.0000 0.0000
0.0000 5.6619 0.0000
0.0000 0.0000 11.3285
U Ru Rh
4 10 2
Cartesian
1.9982 1.4566 4.2258
1.9982 4.2053 7.1027
1.9982 1.3744 9.8901
1.9982 4.2875 1.4384
0.0000 0.0289 2.8385
0.0000 2.8021 8.5028
1.9982 4.2309 9.9056
0.0000 0.0000 0.0000
1.9982 1.3999 7.0872
1.9982 1.4310 1.4229
0.0000 5.6330 8.4900
0.0000 2.8598 2.8257
0.0000 2.8309 5.6643
1.9982 4.2620 4.2413
0.0000 0.0000 5.6643
0.0000 2.8309 0.0000
```

Summary:
The total magnetization is 0.000 μB per atom. Its crystal system is orthorhombic. The energy relative to the elements comes out at -3.08 eV/f.u. The calculated volume is 16.0 Å³/atom.

---

[3]
NpNbV2: optimized geometry, PBE.

The structure in POSCAR format:
```
NpNbV2
1.0
-1.1746 -2.4596 1.6555
2.5863 -1.7206 -0.7214
2.9110 2.1625 5.2783
Np Nb V
1 1 2
Cartesian
0.7059 -2.0901 0.4670
2.1613 -1.0089 3.1062
2.2125 1.6436 4.0118
0.6985 0.5189 1.2665
```

Summary:
The total magnetization is 0.528 μB per atom. Its crystal system is tetragonal. The energy relative to the elements comes out at 1.12 eV/f.u. The calculated volume is 16.3 Å³/atom.

---

[4]
CoSbCl2: optimized geometry, PBE.

The structure in POSCAR format:
```
CoSbCl2
1.0
4.0733 0.9747 2.4206
1.0542 4.5599 1.2237
-0.2096 1.3708 4.6345
Cl Co Sb
2 1 1
Cartesian
3.6884 5.1791 6.2091
1.2295 1.7264 2.0697
0.0000 0.0000 0.0000
2.4590 3.4527 4.1394
```

Summary:
The total magnetization is 0.370 μB per atom. Its crystal system is cubic. The calculation puts the final energy at -12.75 eV/cell. The calculated volume is 20.0 Å³/atom.

---

Which of these has the lowest calculated volume? BeAgO3